(1)
# GdMgTe2AuS

A geometry-optimized GdMgTe2AuS structure (PBE, OQMD via LeMat-Bulk).

Lattice parameters (Å, degrees): 7.346 7.346 10.516 90.00 90.00 147.59
Fractional coordinates of all 12 atoms:
Gd: 0.000 0.000 0.000
Gd: 0.000 0.000 0.500
Mg: 0.278 0.722 0.750
Mg: 0.722 0.278 0.250
Te: 0.341 0.659 0.069
Te: 0.341 0.659 0.431
Te: 0.659 0.341 0.569
Te: 0.659 0.341 0.931
Au: 0.481 0.519 0.250
Au: 0.519 0.481 0.750
S: 0.099 0.901 0.250
S: 0.901 0.099 0.750

Calculated values
E in Ha/atom: -0.1526
SG: No. 63


(2)
# AcTaTe

A geometry-optimized AcTaTe structure (PBE, OQMD via LeMat-Bulk).

Lattice parameters (Å, degrees): 5.125 5.125 5.125 60.00 60.00 60.00
Fractional coordinates of all 3 atoms:
Ac: 0.000 0.000 0.000
Ta: 0.500 0.500 0.500
Te: 0.250 0.250 0.250

Calculated values
Energy above the lowest structure with this stoichiometry in meV per atom: 0
SG: No. 216


(3)
# Al2CdSe3S

A geometry-optimized Al2CdSe3S structure (PBE, OQMD via LeMat-Bulk).

Lattice parameters (Å, degrees): 5.781 5.811 6.686 115.65 114.67 90.67
Fractional coordinates of all 7 atoms:
Al: 0.000 0.000 0.000
Al: 0.241 0.756 0.510
Cd: 0.491 0.492 0.003
Se: 0.371 0.914 0.283
Se: 0.627 0.626 0.724
Se: 0.897 0.362 0.282
S: 0.101 0.086 0.739

Calculated values
E in Ha/atom: -0.1520
SG: No. 1


(4)
# Cs2NaWCl6

A geometry-optimized Cs2NaWCl6 structure (PBE, OQMD via LeMat-Bulk).

Lattice parameters (Å, degrees): 7.402 7.402 7.402 60.00 60.00 60.00
Fractional coordinates of all 10 atoms:
Cs: 0.250 0.250 0.250
Cs: 0.750 0.750 0.750
Na: 0.000 0.000 0.000
W: 0.500 0.500 0.500
Cl: 0.265 0.265 0.735
Cl: 0.265 0.735 0.265
Cl: 0.265 0.735 0.735
Cl: 0.735 0.265 0.265
Cl: 0.735 0.265 0.735
Cl: 0.735 0.735 0.265

Calculated values
E in Ha/atom: -0.1525
SG: No. 225